(1)
Compound: TcSnP
Source: Alexandria via LeMat-Bulk
Functional: PBE
Structure: optimized geometry

It has space group Cm (No. 8), with a = 11.967 Å, b = 3.147 Å, c = 5.647 Å, α = 90.00°, β = 91.58° and γ = 90.00°. Symmetry generates all atoms from Tc at (0.000, 0.000, 0.000), Tc at (0.208, 0.000, 0.361), Sn at (0.042, 0.500, 0.581), Sn at (0.304, 0.500, 0.728), P at (0.160, 0.500, 0.066) and P at (0.392, 0.000, 0.220).

The calculation puts the formation energy at -0.250 eV/atom. Its total magnetization is 0.000 μB per atom. The energy above the most stable polymorph in this dataset is 0.032 eV per atom. As for the calculated volume: 213 Å³/cell.



(2)
Compound: CeNd2Er
Source: Alexandria via LeMat-Bulk
Functional: PBE
Structure: optimized geometry

It has space group R3m (No. 160, hexagonal axes), with a = 3.5883 Å, b = 3.5883 Å, c = 35.1504 Å, α = 90.00°, β = 90.00° and γ = 120.00°. Symmetry generates all atoms from Ce at (0.0000, 0.0000, 0.0000), Nd at (0.0000, 0.0000, 0.2502), Nd at (0.0000, 0.0000, 0.4172) and Er at (0.0000, 0.0000, 0.8335).

The calculation puts the formation energy at 0.069 eV/atom. Its total magnetization is 0.191 μB per atom. The energy above the most stable polymorph in this dataset is 0.000 eV per atom. As for the calculated volume: 392 Å³/cell.



(3)
Compound: SiTcRu3
Source: Alexandria via LeMat-Bulk
Functional: PBE
Structure: optimized geometry

It has space group Pm-3m (No. 221), with a = 4.332 Å, b = 4.332 Å, c = 4.332 Å, α = 90.00°, β = 90.00° and γ = 90.00°. Symmetry generates all atoms from Si at (0.000, 0.000, 0.000), Tc at (0.500, 0.500, 0.500) and Ru at (0.000, 0.000, 0.500).

Its total magnetization is 0.511 μB per atom. The energy above the most stable polymorph in this dataset is 0.000 eV per atom. The energy relative to the elements, uncorrected comes out at 893 meV/atom. As for the calculated volume: 81 Å³/cell.



(4)
Compound: LiTa2V
Source: Alexandria via LeMat-Bulk
Functional: PBE
Structure: optimized geometry

It has space group Fm-3m (No. 225), with a = 6.295 Å, b = 6.295 Å, c = 6.295 Å, α = 90.00°, β = 90.00° and γ = 90.00°. Symmetry generates all atoms from Li at (0.000, 0.000, 0.000), Ta at (0.250, 0.250, 0.250) and V at (0.000, 0.000, 0.500).

The calculation puts the formation energy at 0.308 eV/atom. Its total magnetization is 0.000 μB per atom. The energy above the most stable polymorph in this dataset is 0.000 eV per atom. As for the calculated volume: 249 Å³/cell.



(5)
Compound: Pr2HoTm2Mg5
Source: Alexandria via LeMat-Bulk
Functional: PBE
Structure: optimized geometry

It has space group P4/mbm (No. 127), with a = 10.612 Å, b = 10.612 Å, c = 5.066 Å, α = 90.00°, β = 90.00° and γ = 90.00°. Symmetry generates all atoms from Pr at (0.177, 0.323, 0.000), Ho at (0.000, 0.000, 0.000), Tm at (0.119, 0.619, 0.000), Mg at (0.000, 0.500, 0.500) and Mg at (0.070, 0.801, 0.500).

The calculation puts the formation energy at 0.028 eV/atom. Its total magnetization is 0.000 μB per atom. As for the calculated volume: 571 Å³/cell.



(6)
Compound: K2MnAuS
Source: Alexandria via LeMat-Bulk
Functional: PBE
Structure: optimized geometry

It has space group P4/mmm (No. 123), with a = 6.510 Å, b = 6.510 Å, c = 4.330 Å, α = 90.00°, β = 90.00° and γ = 90.00°. Symmetry generates all atoms from K at (0.000, 0.500, 0.000), Mn at (0.000, 0.000, 0.000), Au at (0.500, 0.500, 0.500) and S at (0.000, 0.000, 0.500).

Its total magnetization is 0.800 μB per atom. The energy relative to the elements, uncorrected comes out at -132 meV/atom. As for the calculated volume: 183 Å³/cell.



(7)
Compound: Ba3Cu2Sb3
Source: Alexandria via LeMat-Bulk
Functional: PBE
Structure: optimized geometry

It has space group Cmcm (No. 63), with a = 4.567 Å, b = 12.760 Å, c = 18.066 Å, α = 90.00°, β = 90.00° and γ = 90.00°. Symmetry generates all atoms from Ba at (0.000, 0.082, 0.250), Ba at (0.000, 0.377, 0.089), Cu at (0.000, 0.329, 0.625), Sb at (0.000, 0.106, 0.066) and Sb at (0.000, 0.209, 0.750).

Its total magnetization is 0.000 μB per atom. The energy relative to the elements, uncorrected comes out at -663 meV/atom. As for the calculated volume: 1053 Å³/cell.



(8)
Compound: KBa2Ta
Source: Alexandria via LeMat-Bulk
Functional: PBE
Structure: optimized geometry

It has space group P4/mmm (No. 123), with a = 6.095 Å, b = 6.095 Å, c = 4.707 Å, α = 90.00°, β = 90.00° and γ = 90.00°. Symmetry generates all atoms from K at (0.000, 0.000, 0.000), Ba at (0.000, 0.500, 0.500) and Ta at (0.500, 0.500, 0.000).

The calculation puts the formation energy at 1.120 eV/atom. Its total magnetization is 0.931 μB per atom. The energy above the most stable polymorph in this dataset is 0.298 eV per atom. As for the calculated volume: 175 Å³/cell.



(9)
Compound: Ca2HfSn2
Source: Alexandria via LeMat-Bulk
Functional: PBE
Structure: optimized geometry

It has space group P4/mbm (No. 127), with a = 9.055 Å, b = 9.055 Å, c = 3.301 Å, α = 90.00°, β = 90.00° and γ = 90.00°. Symmetry generates all atoms from Ca at (0.121, 0.379, 0.000), Hf at (0.000, 0.000, 0.000) and Sn at (0.179, 0.679, 0.500).

The calculation puts the formation energy at -0.020 eV/atom. Its total magnetization is 0.061 μB per atom. The energy above the most stable polymorph in this dataset is 0.201 eV per atom. As for the calculated volume: 271 Å³/cell.



(10)
Compound: SbTeRu2
Source: Alexandria via LeMat-Bulk
Functional: PBE
Structure: optimized geometry

It has space group Fm-3m (No. 225), with a = 6.598 Å, b = 6.598 Å, c = 6.598 Å, α = 90.00°, β = 90.00° and γ = 90.00°. Symmetry generates all atoms from Sb at (0.000, 0.000, 0.000), Te at (0.000, 0.000, 0.500) and Ru at (0.250, 0.250, 0.250).

Its total magnetization is 0.296 μB per atom. The energy relative to the elements, uncorrected comes out at 260 meV/atom. As for the calculated volume: 287 Å³/cell.



(11)
Compound: LaMgN2F
Source: Alexandria via LeMat-Bulk
Functional: PBE
Structure: optimized geometry

It has space group P4/mmm (No. 123), with a = 4.044 Å, b = 4.044 Å, c = 3.992 Å, α = 90.00°, β = 90.00° and γ = 90.00°. Symmetry generates all atoms from La at (0.000, 0.000, 0.000), Mg at (0.500, 0.500, 0.500), N at (0.000, 0.500, 0.500) and F at (0.500, 0.500, 0.000).

Its total magnetization is 0.000 μB per atom. The energy above the most stable polymorph in this dataset is 0.000 eV per atom. The energy relative to the elements, uncorrected comes out at -1148 meV/atom. As for the calculated volume: 65 Å³/cell.



(12)
Compound: SrTaIr2Cl
Source: Alexandria via LeMat-Bulk
Functional: PBE
Structure: optimized geometry

It has space group P4/mmm (No. 123), with a = 4.728 Å, b = 4.728 Å, c = 4.481 Å, α = 90.00°, β = 90.00° and γ = 90.00°. Symmetry generates all atoms from Sr at (0.000, 0.000, 0.000), Ta at (0.500, 0.500, 0.000), Ir at (0.000, 0.500, 0.500) and Cl at (0.500, 0.500, 0.500).

Its total magnetization is 0.000 μB per atom. The energy relative to the elements, uncorrected comes out at 867 meV/atom. As for the calculated volume: 100 Å³/cell.